SrLi2Pt2 | Alexandria | GGA-PBEsol | optimized geometry; magnetic moment = 0.00 μB per formula unit; E_form = -477 meV per atom; final energy = -22.1 eV for the cell shown
1.0
-2.059 2.059 5.610
2.059 -2.059 5.610
2.059 2.059 -5.610
Sr Li Pt
1 2 2
Direct
0.000 0.000 0.000
0.250 0.750 0.500
0.750 0.250 0.500
0.385 0.385 0.000
0.615 0.615 0.000